No. 1
## Rb2MgI6Br (PBE-GGA)

Data for a relaxed structure of Rb2MgI6Br.

Geometry as POSCAR:
```
Rb2MgI6Br
1.0
-4.215 4.215 6.523
4.215 -4.215 6.523
4.215 4.215 -6.523
Rb Mg I Br
2 1 6 1
Direct
0.250 0.750 0.500
0.750 0.250 0.500
0.000 0.000 0.000
0.214 0.214 0.000
0.252 0.252 0.504
0.252 0.748 0.000
0.748 0.252 0.000
0.748 0.748 0.496
0.786 0.786 0.000
0.500 0.500 0.000
```

Properties
E_form (uncorrected) ... -0.724 eV/atom

---

No. 2
## B2H2Rh7 (PBE-GGA)

Data for a relaxed structure of B2H2Rh7.

Geometry as POSCAR:
```
B2H2Rh7
1.0
2.745 -4.561 0.000
2.745 4.561 0.000
0.000 0.000 5.566
B H Rh
2 2 7
Direct
0.180 0.820 0.000
0.820 0.180 0.000
0.182 0.182 0.500
0.818 0.818 0.500
0.000 0.000 0.243
0.000 0.000 0.757
0.000 0.500 0.265
0.000 0.500 0.735
0.500 0.000 0.265
0.500 0.000 0.735
0.500 0.500 0.500
```

Properties
Final energy ... -6.3886 eV per atom

---

No. 3
## CaSmLuCd (PBE-GGA)

Data for a relaxed structure of CaSmLuCd.

Geometry as POSCAR:
```
CaSmLuCd
1.0
0.000 3.915 3.915
3.915 0.000 3.915
3.915 3.915 0.000
Ca Sm Lu Cd
1 1 1 1
Direct
0.000 0.000 0.000
0.500 0.500 0.500
0.250 0.250 0.250
0.750 0.750 0.750
```

Properties
Formation energy ... -0.4 kJ per mole of atoms

---

No. 4
## AgRu3Br (PBE-GGA)

Data for a relaxed structure of AgRu3Br.

Geometry as POSCAR:
```
AgRu3Br
1.0
4.575 0.000 0.000
0.000 4.575 0.000
0.000 0.000 4.575
Ag Ru Br
1 3 1
Direct
0.000 0.000 0.000
0.000 0.500 0.500
0.500 0.000 0.500
0.500 0.500 0.000
0.500 0.500 0.500
```

Properties
Energy above the lowest structure with this stoichiometry ... 0.0 meV/atom
E_form (uncorrected) ... 1.506 eV/atom

---

No. 5
## Co2CuNi2 (PBE-GGA)

Data for a relaxed structure of Co2CuNi2.

Geometry as POSCAR:
```
Co2CuNi2
1.0
6.870 0.000 0.000
0.000 6.870 0.000
0.000 0.000 2.489
Co Cu Ni
4 2 4
Direct
0.122 0.378 0.000
0.378 0.878 0.000
0.622 0.122 0.000
0.878 0.622 0.000
0.000 0.000 0.000
0.500 0.500 0.000
0.174 0.674 0.500
0.326 0.174 0.500
0.674 0.826 0.500
0.826 0.326 0.500
```

Properties
Energy above the lowest structure with this stoichiometry ... 212.1 meV/atom
Formation energy ... 20.6 kJ per mole of atoms

---

No. 6
## HfHS2 (PBE-GGA)

Data for a relaxed structure of HfHS2.

Geometry as POSCAR:
```
HfHS2
1.0
1.790 1.034 6.274
-1.790 1.034 6.274
0.000 -2.067 6.274
Hf H S
1 1 2
Direct
0.000 0.000 0.000
0.500 0.500 0.500
0.413 0.413 0.413
0.587 0.587 0.587
```

Properties
Energy above the lowest structure with this stoichiometry ... 0.0 meV/atom